ScFe2Br | PBE-GGA | relaxed

Calculated values
* total moment: 5.66 μB/f.u.
* crystal system: tetragonal
* energy above the lowest structure with this stoichiometry: 525 meV per atom

a b c (Å): 7.5661 7.5661 5.9276
angles (deg): 50.34 50.34 90.00
Last column: nearest neighbours and their distance in Å.
Fractional positions:
Sc  0.5000  0.5000  0.0000  2 Br 2.55
Sc  0.2500  0.7500  0.5000  2 Br 2.55
Fe  0.6623  0.1250  0.2500  2 Br 2.56, 2 Fe 2.61
Fe  0.0877  0.6250  0.2500  2 Br 2.56, 2 Fe 2.61
Fe  0.3750  0.3377  0.7500  2 Br 2.56, 2 Fe 2.61
Fe  0.8750  0.9123  0.7500  2 Br 2.56, 2 Fe 2.61
Br  0.0000  0.0000  0.0000  2 Sc 2.55, 4 Fe 2.56
Br  0.7500  0.2500  0.5000  2 Sc 2.55, 4 Fe 2.56